Entry from Alexandria via LeMat-Bulk: NbPF3 at its PBEsol-relaxed geometry (SCAN).

Results
* ΔE_f (raw): -7.33 eV/f.u.

Lattice parameters (Å, degrees): 4.220 4.220 4.220 90.00 90.00 90.00
Space group Pm-3m (No. 221)
One atom of each set of equivalent atoms:
Nb1 0.000 0.000 0.000 x1
P1 0.500 0.500 0.500 x1
F1 0.000 0.000 0.500 x3

---

Entry from Alexandria via LeMat-Bulk: NbPd2F at its PBEsol-relaxed geometry (SCAN).

Results
* ΔE_f (raw): -1.06 eV/f.u.

Lattice parameters (Å, degrees): 6.159 6.159 6.159 90.00 90.00 90.00
Space group Fm-3m (No. 225)
One atom of each set of equivalent atoms:
Nb1 0.000 0.000 0.000 x4
Pd1 0.250 0.250 0.250 x8
F1 0.000 0.000 0.500 x4

---

Entry from Alexandria via LeMat-Bulk: NbPd3F at its PBEsol-relaxed geometry (SCAN).

Results
* ΔE_f (raw): 4.44 eV/f.u.

Lattice parameters (Å, degrees): 4.758 4.758 4.758 90.00 90.00 90.00
Space group Pm-3m (No. 221)
One atom of each set of equivalent atoms:
Nb1 0.000 0.000 0.000 x1
Pd1 0.000 0.000 0.500 x3
F1 0.500 0.500 0.500 x1